[1]
DFT (GGA-PBE) results for an optimized crystal structure of Sb2TeOs.

Output
For the formation energy (no corrections), the calculation gives 0.387 eV per atom. For the total magnetization, the calculation gives 0.00 μB/f.u. The uncorrected energy is -5.2675 eV per atom. The density comes out at 9.50 g cm⁻³.

a = 6.821 Å, b = 6.821 Å, c = 6.821 Å
α = 152.28°, β = 138.14°, γ = 50.95°
Element x y z (fractional)
1 Os 0.257 0.757 0.500
2 Sb 0.074 0.074 0.000
3 Sb 0.737 0.237 0.500
4 Te 0.433 0.433 0.000



[2]
DFT (GGA-PBE) results for an optimized crystal structure of Pa4BS3.

Output
The calculation puts the distance to the lowest polymorph of the same formula at 5.6 kJ per mole of atoms. For the formation energy (no corrections), the calculation gives -1.228 eV per atom. For the total magnetization, the calculation gives 0.00 μB/f.u. The uncorrected energy is -8.3584 eV per atom. The density comes out at 10.42 g cm⁻³.

a = 5.477 Å, b = 5.477 Å, c = 5.477 Å
α = 90.00°, β = 90.00°, γ = 90.00°
Element x y z (fractional)
1 Pa 0.500 0.000 0.000
2 Pa 0.000 0.500 0.000
3 Pa 0.000 0.000 0.500
4 Pa 0.500 0.500 0.500
5 B 0.000 0.000 0.000
6 S 0.000 0.500 0.500
7 S 0.500 0.000 0.500
8 S 0.500 0.500 0.000



[3]
DFT (GGA-PBE) results for an optimized crystal structure of Pm2Al3PdAu12.

Output
For the total magnetization, the calculation gives 0.00 μB/f.u. For the formation energy, the calculation gives -0.141 eV/atom. The uncorrected energy is -3.7664 eV per atom. The density comes out at 11.47 g cm⁻³.

a = 8.029 Å, b = 8.029 Å, c = 8.029 Å
α = 65.70°, β = 65.70°, γ = 65.70°
Element x y z (fractional)
1 Pm 0.610 0.610 0.610
2 Pm 0.390 0.390 0.390
3 Al 0.500 0.000 0.000
4 Al 0.000 0.500 0.000
5 Al 0.000 0.000 0.500
6 Pd 0.000 0.000 0.000
7 Au 0.360 0.360 0.887
8 Au 0.862 0.862 0.379
9 Au 0.379 0.862 0.862
10 Au 0.887 0.360 0.360
11 Au 0.862 0.379 0.862
12 Au 0.360 0.887 0.360
13 Au 0.640 0.640 0.113
14 Au 0.138 0.138 0.621
15 Au 0.621 0.138 0.138
16 Au 0.113 0.640 0.640
17 Au 0.138 0.621 0.138
18 Au 0.640 0.113 0.640



- The lowest uncorrected energy belongs to which entry?
  Pa4BS3



- Among the records above, which one has the highest uncorrected energy?
  Pm2Al3PdAu12